[1]
## TcHgAsO (GGA-PBE)

Data for TcHgAsO after structural relaxation.

Raw total energy = -4.847 eV/atom
Offset from the most stable computed form = 0.591 eV per atom

Cell lengths 3.9640, 3.9640, 8.9627 Å; angles 90.00, 90.00, 90.00 degrees
Closest atoms and distances in Å follow each position.
Fractional positions:
As (0.7500, 0.7500, 0.2056)  1 Tc 2.62, 4 O 2.71
Hg (0.2500, 0.7500, 0.5000)  4 Hg 2.80
O (0.7500, 0.2500, 0.0000)  4 Tc 2.13
As (0.2500, 0.2500, 0.7944)  1 Tc 2.62, 4 O 2.71
Tc (0.2500, 0.2500, 0.0865)  4 O 2.13
Tc (0.7500, 0.7500, 0.9135)  4 O 2.13
Hg (0.7500, 0.2500, 0.5000)  4 Hg 2.80
O (0.2500, 0.7500, 0.0000)  4 Tc 2.13

---

[2]
## Tb2TmIn3Pt2 (GGA-PBE)

Data for Tb2TmIn3Pt2 after structural relaxation.

Raw total energy = -5.141 eV/atom

Cell lengths 3.6296, 7.6944, 7.6944 Å; angles 119.94, 90.00, 90.00 degrees
Closest atoms and distances in Å follow each position.
Fractional positions:
Tb (0.0000, 0.5796, 0.0002)  4 Pt 2.95, 2 In 3.25
Pt (0.5000, 0.3349, 0.6630)  2 Tm 2.90, 4 Tb 2.95, 3 In 3.01-3.09
In (0.5000, 0.0018, 0.2307)  2 Pt 3.02-3.09, 2 In 3.05-3.08, 4 Tb 3.25-3.35, 2 Tm 3.34
In (0.5000, 0.7682, 0.7682)  2 Pt 3.01, 2 In 3.08, 2 Tm 3.23, 4 Tb 3.34
Tm (0.0000, 0.4217, 0.4217)  4 Pt 2.90, 2 In 3.23
In (0.5000, 0.2307, 0.0018)  2 Pt 3.02-3.09, 2 In 3.05-3.08, 4 Tb 3.25-3.35, 2 Tm 3.34
Pt (0.5000, 0.6630, 0.3349)  2 Tm 2.90, 4 Tb 2.95, 3 In 3.01-3.09
Tb (0.0000, 0.0002, 0.5796)  4 Pt 2.95, 2 In 3.25

---

[3]
## TbAuSO (GGA-PBE)

Data for TbAuSO after structural relaxation.

Raw total energy = -6.175 eV/atom
Offset from the most stable computed form = 0.034 eV per atom

Cell lengths 8.9140, 5.6527, 5.6428 Å; angles 90.00, 90.50, 90.00 degrees
Closest atoms and distances in Å follow each position.
Fractional positions:
Au (0.9991, 0.2439, 0.2481)  2 S 2.40-2.41
Tb (0.6230, 0.9978, 0.7523)  4 O 2.28
O (0.4978, 0.7497, 0.9999)  4 Tb 2.28
Tb (0.3770, 0.4978, 0.7477)  4 O 2.28
S (0.2178, 0.0066, 0.7463)  2 Au 2.40-2.41
Au (0.9991, 0.2561, 0.7481)  2 S 2.40-2.41
Tb (0.3770, 0.0022, 0.2477)  4 O 2.28
O (0.4978, 0.7503, 0.4999)  4 Tb 2.28
S (0.7822, 0.9934, 0.2537)  2 Au 2.40-2.41
O (0.5022, 0.2503, 0.0001)  4 Tb 2.28
Au (0.0009, 0.7561, 0.7519)  2 S 2.40-2.41
S (0.7822, 0.5066, 0.7537)  2 Au 2.40-2.41
O (0.5022, 0.2497, 0.5001)  4 Tb 2.28
Au (0.0009, 0.7439, 0.2519)  2 S 2.40-2.41
S (0.2178, 0.4934, 0.2463)  2 Au 2.40-2.41
Tb (0.6230, 0.5022, 0.2523)  4 O 2.28

---

[4]
## GaReNO (GGA-PBE)

Data for GaReNO after structural relaxation.

Raw total energy = -7.519 eV/atom
Offset from the most stable computed form = 0.051 eV per atom

Cell lengths 2.9739, 5.0297, 6.0483 Å; angles 90.00, 90.00, 90.00 degrees
Closest atoms and distances in Å follow each position.
Fractional positions:
O (0.5000, 0.3569, 0.2509)  2 Ga 1.90, 1 Re 2.08
Ga (0.0000, 0.5319, 0.3816)  2 N 1.89-1.92, 2 O 1.90
Ga (0.0000, 0.0319, 0.6184)  2 N 1.89-1.92, 2 O 1.90
O (0.5000, 0.8569, 0.7491)  2 Ga 1.90, 1 Re 2.08
Re (0.5000, 0.9651, 0.0813)  2 O 2.08-2.22, 2 N 2.10
Re (0.5000, 0.4651, 0.9187)  2 O 2.08-2.22, 2 N 2.10
N (0.0000, 0.9000, 0.3208)  2 Ga 1.89-1.92, 2 Re 2.10
N (0.0000, 0.4000, 0.6792)  2 Ga 1.89-1.92, 2 Re 2.10

---

[5]
## Rb3TcF6 (GGA-PBE)

Data for Rb3TcF6 after structural relaxation.

Raw total energy = -4.818 eV/atom

Cell lengths 6.3097, 6.3097, 6.3474 Å; angles 119.88, 119.88, 59.58 degrees
Closest atoms and distances in Å follow each position.
Fractional positions:
Rb (0.7489, 0.7489, 0.2483)  12 F 3.14-3.19
Rb (0.5000, 0.5000, 0.5000)  6 F 2.46-2.47
F (0.2250, 0.2250, 0.2259)  1 Tc 2.02
F (0.7783, 0.2229, 0.7754)  1 Tc 2.00
F (0.2229, 0.7783, 0.7754)  1 Tc 2.00
F (0.7771, 0.2217, 0.2246)  1 Tc 2.00
F (0.2217, 0.7771, 0.2246)  1 Tc 2.00
F (0.7750, 0.7750, 0.7741)  1 Tc 2.02
Rb (0.2511, 0.2511, 0.7517)  12 F 3.14-3.19
Tc (0.0000, 0.0000, 0.0000)  6 F 2.00-2.02

---

[6]
## KTmO3 (GGA-PBE)

Data for KTmO3 after structural relaxation.

Raw total energy = -5.472 eV/atom

Cell lengths 5.8669, 5.8669, 5.8669 Å; angles 67.35, 67.35, 67.35 degrees
Closest atoms and distances in Å follow each position.
Fractional positions:
O (0.4293, 0.0707, 0.7500)  1 Tm 2.09
O (0.5707, 0.9293, 0.2500)  1 Tm 2.09
Tm (0.2500, 0.2500, 0.2500)  3 O 2.09
O (0.2500, 0.5707, 0.9293)  1 Tm 2.09
K (0.0000, 0.0000, 0.0000)  6 O 2.48
O (0.7500, 0.4293, 0.0707)  1 Tm 2.09
O (0.0707, 0.7500, 0.4293)  1 Tm 2.09
K (0.5000, 0.5000, 0.5000)  6 O 2.48
Tm (0.7500, 0.7500, 0.7500)  3 O 2.09
O (0.9293, 0.2500, 0.5707)  1 Tm 2.09

---

[7]
## TbTcIr (GGA-PBE)

Data for TbTcIr after structural relaxation.

Raw total energy = -7.751 eV/atom
Formation enthalpy at 0 K = 19.01 kJ/mol of atoms

Cell lengths 4.4931, 4.4931, 4.4931 Å; angles 60.00, 60.00, 60.00 degrees
Closest atoms and distances in Å follow each position.
Fractional positions:
Tb (0.7500, 0.7500, 0.7500)  4 Ir 2.75
Tc (0.2500, 0.2500, 0.2500)  4 Ir 2.75
Ir (0.0000, 0.0000, 0.0000)  4 Tb 2.75, 4 Tc 2.75

---

[8]
## Y6Al43W4 (GGA-PBE)

Data for Y6Al43W4 after structural relaxation.

Raw total energy = -5.024 eV/atom

Cell lengths 11.0122, 11.0122, 17.7540 Å; angles 90.00, 90.00, 120.00 degrees
Closest atoms and distances in Å follow each position.
Fractional positions:
Al (0.6667, 0.3333, 0.3746)  9 Al 2.72-2.84
Al (0.6054, 0.7633, 0.6637)  7 Al 2.72-3.01, 1 W 2.73
Al (0.8514, 0.8514, 0.7500)  2 W 2.58, 6 Al 2.83
W (0.0000, 0.7298, 0.7500)  10 Al 2.58-2.73
Y (0.5318, 0.0000, 0.5957)  15 Al 3.06-3.40
Al (0.1605, 0.0000, 0.3858)  2 W 2.69-2.70, 7 Al 2.74-2.95
W (0.7298, 0.7298, 0.2500)  10 Al 2.58-2.73
Al (0.2367, 0.3946, 0.3363)  7 Al 2.72-3.01, 1 W 2.73
Al (0.3333, 0.6667, 0.3746)  9 Al 2.72-2.84
Al (0.2469, 0.4939, 0.0000)  6 Al 2.73-2.85
Al (0.5521, 0.1477, 0.2500)  1 W 2.69, 7 Al 2.74-2.84
Al (0.4044, 0.5521, 0.7500)  1 W 2.69, 7 Al 2.74-2.84
W (0.0000, 0.0000, 0.5000)  12 Al 2.69-2.85
Al (0.0000, 0.8514, 0.2500)  2 W 2.58, 6 Al 2.83
Al (0.0000, 0.8395, 0.8858)  2 W 2.69-2.70, 7 Al 2.74-2.95
Al (0.1486, 0.1486, 0.2500)  2 W 2.58, 6 Al 2.83
Al (0.7458, 0.0000, 0.4696)  9 Al 2.73-3.00, 1 W 2.85
Al (0.2542, 0.0000, 0.9696)  9 Al 2.73-3.00, 1 W 2.85
Al (0.3946, 0.1580, 0.8363)  7 Al 2.72-3.01, 1 W 2.73
Y (0.4682, 0.4682, 0.5957)  15 Al 3.06-3.40
Al (0.1605, 0.1605, 0.8858)  2 W 2.69-2.70, 7 Al 2.74-2.95
Al (0.8395, 0.0000, 0.8858)  2 W 2.69-2.70, 7 Al 2.74-2.95
Al (0.8523, 0.4044, 0.2500)  1 W 2.69, 7 Al 2.74-2.84
Al (0.1477, 0.5956, 0.7500)  1 W 2.69, 7 Al 2.74-2.84
W (0.7298, 0.0000, 0.7500)  10 Al 2.58-2.73
Al (0.7458, 0.0000, 0.0304)  9 Al 2.73-3.00, 1 W 2.85
Al (0.5956, 0.1477, 0.7500)  1 W 2.69, 7 Al 2.74-2.84
Y (0.4682, 0.4682, 0.9043)  15 Al 3.06-3.40
Al (0.7531, 0.2469, 0.5000)  6 Al 2.73-2.85
Al (0.6054, 0.7633, 0.8363)  7 Al 2.72-3.01, 1 W 2.73
Al (0.1477, 0.5521, 0.2500)  1 W 2.69, 7 Al 2.74-2.84
Al (0.2542, 0.2542, 0.4696)  9 Al 2.73-3.00, 1 W 2.85
Al (0.8420, 0.2367, 0.6637)  7 Al 2.72-3.01, 1 W 2.73
Al (0.2367, 0.3946, 0.1637)  7 Al 2.72-3.01, 1 W 2.73
Al (0.7458, 0.7458, 0.9696)  9 Al 2.73-3.00, 1 W 2.85
Al (0.0000, 0.1605, 0.1142)  2 W 2.69-2.70, 7 Al 2.74-2.95
Y (0.0000, 0.5318, 0.5957)  15 Al 3.06-3.40
Al (0.7531, 0.5061, 0.5000)  6 Al 2.73-2.85
Y (0.5318, 0.0000, 0.9043)  15 Al 3.06-3.40
Al (0.0000, 0.7458, 0.0304)  9 Al 2.73-3.00, 1 W 2.85
Al (0.1580, 0.3946, 0.8363)  7 Al 2.72-3.01, 1 W 2.73
Al (0.4479, 0.5956, 0.2500)  1 W 2.69, 7 Al 2.74-2.84
Al (0.6054, 0.8420, 0.3363)  7 Al 2.72-3.01, 1 W 2.73
Al (0.8420, 0.6054, 0.1637)  7 Al 2.72-3.01, 1 W 2.73
W (0.0000, 0.0000, 0.0000)  12 Al 2.69-2.85
Al (0.4939, 0.2469, 0.0000)  6 Al 2.73-2.85
Al (0.7531, 0.2469, 0.0000)  6 Al 2.73-2.85
Al (0.4044, 0.8523, 0.2500)  1 W 2.69, 7 Al 2.74-2.84
Al (0.6667, 0.3333, 0.6254)  9 Al 2.72-2.84
Al (0.2367, 0.8420, 0.6637)  7 Al 2.72-3.01, 1 W 2.73
W (0.2702, 0.0000, 0.2500)  10 Al 2.58-2.73
Al (0.0000, 0.8395, 0.6142)  2 W 2.69-2.70, 7 Al 2.74-2.95
Al (0.8420, 0.6054, 0.3363)  7 Al 2.72-3.01, 1 W 2.73
Al (0.8395, 0.8395, 0.1142)  2 W 2.69-2.70, 7 Al 2.74-2.95
Al (0.8395, 0.8395, 0.3858)  2 W 2.69-2.70, 7 Al 2.74-2.95
Al (0.7458, 0.7458, 0.5304)  9 Al 2.73-3.00, 1 W 2.85
Al (0.7633, 0.1580, 0.1637)  7 Al 2.72-3.01, 1 W 2.73
Al (0.2469, 0.4939, 0.5000)  6 Al 2.73-2.85
Al (0.2469, 0.7531, 0.0000)  6 Al 2.73-2.85
Al (0.3333, 0.6667, 0.1254)  9 Al 2.72-2.84
Al (0.7633, 0.1580, 0.3363)  7 Al 2.72-3.01, 1 W 2.73
Y (0.4682, 0.0000, 0.0957)  15 Al 3.06-3.40
Al (0.7633, 0.6054, 0.6637)  7 Al 2.72-3.01, 1 W 2.73
Al (0.3946, 0.2367, 0.1637)  7 Al 2.72-3.01, 1 W 2.73
Y (0.0000, 0.4682, 0.0957)  15 Al 3.06-3.40
Al (0.6667, 0.3333, 0.8746)  9 Al 2.72-2.84
Al (0.7633, 0.6054, 0.8363)  7 Al 2.72-3.01, 1 W 2.73
W (0.2702, 0.2702, 0.7500)  10 Al 2.58-2.73
Al (0.0000, 0.2542, 0.9696)  9 Al 2.73-3.00, 1 W 2.85
Al (0.4939, 0.2469, 0.5000)  6 Al 2.73-2.85
W (0.0000, 0.2702, 0.2500)  10 Al 2.58-2.73
Al (0.1605, 0.0000, 0.1142)  2 W 2.69-2.70, 7 Al 2.74-2.95
Al (0.1580, 0.7633, 0.1637)  7 Al 2.72-3.01, 1 W 2.73
Al (0.7531, 0.5061, 0.0000)  6 Al 2.73-2.85
Al (0.3946, 0.1580, 0.6637)  7 Al 2.72-3.01, 1 W 2.73
Al (0.5521, 0.4044, 0.7500)  1 W 2.69, 7 Al 2.74-2.84
Al (0.3946, 0.2367, 0.3363)  7 Al 2.72-3.01, 1 W 2.73
Al (0.5061, 0.7531, 0.0000)  6 Al 2.73-2.85
Al (0.8420, 0.2367, 0.8363)  7 Al 2.72-3.01, 1 W 2.73
Al (0.8514, 0.0000, 0.2500)  2 W 2.58, 6 Al 2.83
Y (0.5318, 0.5318, 0.4043)  15 Al 3.06-3.40
Al (0.3333, 0.6667, 0.8746)  9 Al 2.72-2.84
Al (0.4479, 0.8523, 0.7500)  1 W 2.69, 7 Al 2.74-2.84
Al (0.3333, 0.6667, 0.6254)  9 Al 2.72-2.84
Al (0.1580, 0.7633, 0.3363)  7 Al 2.72-3.01, 1 W 2.73
Al (0.8395, 0.0000, 0.6142)  2 W 2.69-2.70, 7 Al 2.74-2.95
Al (0.1580, 0.3946, 0.6637)  7 Al 2.72-3.01, 1 W 2.73
Al (0.0000, 0.1486, 0.7500)  2 W 2.58, 6 Al 2.83
Al (0.1605, 0.1605, 0.6142)  2 W 2.69-2.70, 7 Al 2.74-2.95
Al (0.0000, 0.1605, 0.3858)  2 W 2.69-2.70, 7 Al 2.74-2.95
Al (0.8523, 0.4479, 0.7500)  1 W 2.69, 7 Al 2.74-2.84
Al (0.0000, 0.7458, 0.4696)  9 Al 2.73-3.00, 1 W 2.85
Al (0.5061, 0.7531, 0.5000)  6 Al 2.73-2.85
Al (0.6054, 0.8420, 0.1637)  7 Al 2.72-3.01, 1 W 2.73
Al (0.2469, 0.7531, 0.5000)  6 Al 2.73-2.85
Al (0.6667, 0.3333, 0.1254)  9 Al 2.72-2.84
Al (0.5956, 0.4479, 0.2500)  1 W 2.69, 7 Al 2.74-2.84
Al (0.2542, 0.2542, 0.0304)  9 Al 2.73-3.00, 1 W 2.85
Al (0.1486, 0.0000, 0.7500)  2 W 2.58, 6 Al 2.83
Al (0.2542, 0.0000, 0.5304)  9 Al 2.73-3.00, 1 W 2.85
Y (0.0000, 0.5318, 0.9043)  15 Al 3.06-3.40
Al (0.2367, 0.8420, 0.8363)  7 Al 2.72-3.01, 1 W 2.73
Al (0.0000, 0.2542, 0.5304)  9 Al 2.73-3.00, 1 W 2.85
Y (0.5318, 0.5318, 0.0957)  15 Al 3.06-3.40
Y (0.4682, 0.0000, 0.4043)  15 Al 3.06-3.40
Y (0.0000, 0.4682, 0.4043)  15 Al 3.06-3.40

---

[9]
## Li4CdSi2Pd (GGA-PBE)

Data for Li4CdSi2Pd after structural relaxation.

Raw total energy = -3.456 eV/atom

Cell lengths 4.2842, 4.2842, 6.1934 Å; angles 90.00, 90.00, 90.00 degrees
Closest atoms and distances in Å follow each position.
Fractional positions:
Li (0.5000, 0.0000, 0.7313)  2 Pd 2.58, 4 Li 2.58-2.71, 2 Cd 2.71, 1 Si 2.82
Cd (0.0000, 0.0000, 0.0000)  8 Li 2.71-3.03, 4 Si 2.74
Si (0.5000, 0.0000, 0.2762)  5 Li 2.55-2.82, 2 Pd 2.55, 2 Cd 2.74
Si (0.0000, 0.5000, 0.7238)  2 Pd 2.55, 5 Li 2.55-2.82, 2 Cd 2.74
Li (0.0000, 0.0000, 0.5000)  4 Si 2.55, 4 Li 2.58
Pd (0.5000, 0.5000, 0.5000)  4 Si 2.55, 4 Li 2.58
Li (0.5000, 0.5000, 0.0000)  4 Li 2.71, 4 Si 2.74, 4 Cd 3.03
Li (0.0000, 0.5000, 0.2687)  4 Li 2.58-2.71, 2 Pd 2.58, 2 Cd 2.71, 1 Si 2.82

---

[10]
## RbTaHg (GGA-PBE)

Data for RbTaHg after structural relaxation.

Raw total energy = -2.240 eV/atom
Offset from the most stable computed form = 0.445 eV per atom

Cell lengths 5.6573, 5.6573, 5.6573 Å; angles 60.00, 60.00, 60.00 degrees
Closest atoms and distances in Å follow each position.
Fractional positions:
Rb (0.0000, 0.0000, 0.0000)  4 Hg 3.46, 4 Ta 3.46
Ta (0.7500, 0.7500, 0.7500)  4 Rb 3.46
Hg (0.2500, 0.2500, 0.2500)  4 Rb 3.46